{
  "formula": "Ac2SbRh",
  "functional": "PBE",
  "state": "relaxed",
  "cell": [[0.000, 3.923, 3.923], [3.923, 0.000, 3.923], [3.923, 3.923, 0.000]],
  "species": ["Ac", "Ac", "Sb", "Rh"],
  "frac_coords": [[0.250, 0.250, 0.250], [0.750, 0.750, 0.750], [0.000, 0.000, 0.000], [0.500, 0.500, 0.500]],
  "dft_energy_ev_per_atom": -5.550,
  "raw_formation_energy_ev_per_atom": -0.6276
}